1.
Computed, not measured: a relaxed structure of Ca3CoO at the PBE+U level of DFT.

POSCAR file:
```
Ca3CoO
1.0
4.823 0.000 0.000
0.000 4.823 0.000
0.000 0.000 4.823
Ca Co O
3 1 1
Direct
0.000 0.000 0.500 Ca
0.000 0.500 0.000 Ca
0.500 0.000 0.000 Ca
0.500 0.500 0.500 Co
0.000 0.000 0.000 O
```

Summary:
Offset from the most stable computed form: 0.000 eV per atom
Density: 2.9 g/cm³
E_tot: -4.160 eV per atom

2.
Computed, not measured: a relaxed structure of CaCo2O4 at the PBE+U level of DFT.

POSCAR file:
```
CaCo2O4
1.0
6.950 -1.455 0.000
6.950 1.455 0.000
-4.269 0.000 7.671
Ca Co O
2 4 8
Direct
0.115 0.115 0.157 Ca
0.885 0.885 0.843 Ca
0.077 0.077 0.770 Co
0.336 0.336 0.481 Co
0.664 0.664 0.519 Co
0.923 0.923 0.230 Co
0.073 0.073 0.389 O
0.270 0.270 0.636 O
0.368 0.368 0.297 O
0.442 0.442 0.090 O
0.558 0.558 0.910 O
0.632 0.632 0.703 O
0.730 0.730 0.364 O
0.927 0.927 0.611 O
```

Summary:
Offset from the most stable computed form: 0.154 eV per atom
Density: 4.8 g/cm³
E_tot: -5.970 eV per atom

3.
Computed, not measured: a relaxed structure of Ca2CoO3 at the PBE+U level of DFT.

POSCAR file:
```
Ca2CoO3
1.0
3.496 -1.962 0.000
3.496 1.962 0.000
-2.419 0.000 6.569
Ca Co O
2 1 3
Direct
0.229 0.229 0.185 Ca
0.771 0.771 0.815 Ca
0.000 0.000 0.500 Co
0.106 0.106 0.822 O
0.500 0.500 0.500 O
0.894 0.894 0.178 O
```

Summary:
Offset from the most stable computed form: 0.096 eV per atom
Density: 3.4 g/cm³
E_tot: -6.147 eV per atom

4.
Computed, not measured: a relaxed structure of Ca3Co2O6 at the PBE+U level of DFT.

POSCAR file:
```
Ca3Co2O6
1.0
4.401 -4.575 0.000
4.401 4.575 0.000
-0.302 0.000 6.287
Ca Co O
6 4 12
Direct
0.108 0.892 0.750 Ca
0.242 0.379 0.623 Ca
0.379 0.242 0.123 Ca
0.621 0.758 0.877 Ca
0.758 0.621 0.377 Ca
0.892 0.108 0.250 Ca
0.000 0.500 0.000 Co
0.272 0.728 0.250 Co
0.500 0.000 0.500 Co
0.728 0.272 0.750 Co
0.057 0.213 0.917 O
0.098 0.475 0.290 O
0.213 0.057 0.417 O
0.287 0.603 0.964 O
0.397 0.713 0.536 O
0.475 0.098 0.790 O
0.525 0.902 0.210 O
0.603 0.287 0.464 O
0.713 0.397 0.036 O
0.787 0.943 0.583 O
0.902 0.525 0.710 O
0.943 0.787 0.083 O
```

Summary:
Offset from the most stable computed form: 0.000 eV per atom
Density: 4.4 g/cm³
E_tot: -6.239 eV per atom